First-principles (PBE+U) data for crystalline PmVO4F at its relaxed geometry, as listed in the Alexandria database.

abc: 6.080 6.080 6.615
angles: 82.71 82.71 74.51
Fractional coordinates of all 14 atoms:
Pm  0.195  0.195  0.914
Pm  0.805  0.805  0.086
V  0.624  0.624  0.713
V  0.376  0.376  0.287
O  0.312  0.312  0.550
O  0.688  0.688  0.450
O  0.133  0.494  0.160
O  0.559  0.559  0.245
O  0.506  0.867  0.840
O  0.494  0.133  0.160
O  0.441  0.441  0.755
O  0.867  0.506  0.840
F  0.019  0.019  0.192
F  0.981  0.981  0.808

Computed properties:
ρ	3982	kg/m³
raw total energy	-7.300	eV/atom

First-principles (PBE+U) data for crystalline Pr2FeO6 at its relaxed geometry, as listed in the Alexandria database.

abc: 3.847 5.811 6.188
angles: 118.00 98.33 90.00
Site moments in Bohr magnetons follow the coordinates.
Fractional coordinates of all 9 atoms:
Pr  0.697  0.668  0.336  0.02
Pr  0.303  0.332  0.664  0.02
Fe  0.000  0.000  0.000  4.32
O  0.176  0.379  0.286  0.15
O  0.824  0.094  0.714  0.15
O  0.824  0.621  0.714  0.15
O  0.500  0.224  0.000  0.38
O  0.176  0.906  0.286  0.15
O  0.500  0.776  0.000  0.38

Computed properties:
D(E_F)	0.23	states/eV per atom
ρ	5977	kg/m³
raw total energy	-6.934	eV/atom